Compound: SrHgSe2
Source: Alexandria
Functional: SCAN
Structure: single point on PBEsol structure Values from VASP.

## Properties
For the total energy, the calculation gives -33.845 eV per atom. Its formation energy (no corrections) is -1.195 eV per atom. The volume is 37.8 A^3/atom.

Structure (Quantum ESPRESSO input):
```
&SYSTEM
  ibrav = 0, nat = 4, ntyp = 3
/
ATOMIC_SPECIES
Se 78.96 Se.upf
Hg 200.59 Hg.upf
Sr 87.62 Sr.upf
CELL_PARAMETERS angstrom
4.776 0.000 0.000
2.388 4.136 0.000
2.388 1.379 7.656
ATOMIC_POSITIONS crystal
Se 0.106 0.106 0.683
Se 0.894 0.894 0.317
Hg 0.000 0.000 0.000
Sr 0.500 0.500 0.500
```

=====

Compound: TaHg2Se
Source: Alexandria
Functional: SCAN
Structure: single point on PBEsol structure Values from VASP.

## Properties
For the total energy, the calculation gives -55.149 eV per atom. Its formation energy (no corrections) is 0.599 eV per atom. The volume is 19.6 A^3/atom.

Structure (Quantum ESPRESSO input):
```
&SYSTEM
  ibrav = 0, nat = 4, ntyp = 3
/
ATOMIC_SPECIES
Hg 200.59 Hg.upf
Ta 180.95 Ta.upf
Se 78.96 Se.upf
CELL_PARAMETERS angstrom
-2.872 -0.862 2.538
1.168 -3.751 0.048
3.116 1.020 3.873
ATOMIC_POSITIONS crystal
Hg 0.500 0.000 0.000
Hg 0.000 0.500 0.000
Ta 0.000 0.000 0.500
Se 0.500 0.500 0.500
```

=====

Compound: TaHg2Se
Source: Alexandria
Functional: SCAN
Structure: single point on PBEsol structure Values from VASP.

## Properties
For the total energy, the calculation gives -55.330 eV per atom. Its formation energy (no corrections) is 0.418 eV per atom. The volume is 21.2 A^3/atom.

Structure (Quantum ESPRESSO input):
```
&SYSTEM
  ibrav = 0, nat = 4, ntyp = 3
/
ATOMIC_SPECIES
Hg 200.59 Hg.upf
Ta 180.95 Ta.upf
Se 78.96 Se.upf
CELL_PARAMETERS angstrom
-1.072 -0.205 3.111
3.088 -3.878 0.286
3.834 3.166 1.530
ATOMIC_POSITIONS crystal
Hg 0.799 0.238 0.000
Hg 0.201 0.762 0.000
Ta 0.500 0.000 0.500
Se 0.500 0.500 0.500
```